The following is a DFT calculation (PBE) of Y2Be3Cu12Si after structural relaxation.

As for the symmetry: No. 166. The energy relative to the elements, uncorrected is 0.2926 eV per atom. The value obtained for the theoretical density is 5.839 g cm⁻³. Its calculated total energy is -73.4 eV/cell. Its total magnetic moment is 0.00 μB/f.u. Its crystal system is trigonal.

Cell lengths 7.237, 7.237, 7.237 Å; angles 62.52, 62.52, 62.52 degrees
Fractional coordinates of all 18 atoms:
Y 0.394 0.394 0.394
Y 0.606 0.606 0.606
Be 0.500 0.000 0.000
Be 0.000 0.000 0.500
Be 0.000 0.500 0.000
Cu 0.623 0.120 0.120
Cu 0.098 0.659 0.659
Cu 0.902 0.341 0.341
Cu 0.341 0.902 0.341
Cu 0.120 0.120 0.623
Cu 0.659 0.659 0.098
Cu 0.377 0.880 0.880
Cu 0.659 0.098 0.659
Cu 0.120 0.623 0.120
Cu 0.341 0.341 0.902
Cu 0.880 0.377 0.880
Cu 0.880 0.880 0.377
Si 0.000 0.000 0.000


The following is a DFT calculation (PBE) of ScOs after structural relaxation.

As for the symmetry: No. 194. The value obtained for the theoretical density is 8.273 g cm⁻³. The formation energy is 1039 meV per atom. Its calculated total energy is -31.0 eV/cell. Its total magnetic moment is 0.00 μB/f.u. Its crystal system is hexagonal.

Cell lengths 4.526, 4.526, 5.322 Å; angles 90.00, 90.00, 120.00 degrees
Fractional coordinates of all 4 atoms:
Sc 0.333 0.667 0.250
Sc 0.667 0.333 0.750
Os 0.333 0.667 0.750
Os 0.667 0.333 0.250


The following is a DFT calculation (PBE) of BeZnF5 after structural relaxation.

As for the symmetry: No. 15. The energy relative to the elements, uncorrected is -2.3142 eV per atom. The value obtained for the theoretical density is 3.145 g cm⁻³. Its calculated total energy is -61.1 eV/cell. Its total magnetic moment is 1.01 μB/f.u. Its crystal system is monoclinic.

Cell lengths 5.268, 5.268, 7.467 Å; angles 110.96, 110.96, 89.75 degrees
Fractional coordinates of all 14 atoms:
F 0.577 0.922 0.750
F 0.423 0.078 0.250
F 0.762 0.753 0.427
F 0.192 0.686 0.340
F 0.814 0.308 0.160
F 0.252 0.262 0.927
F 0.748 0.738 0.073
F 0.238 0.247 0.573
F 0.808 0.314 0.660
F 0.186 0.692 0.840
Zn 0.500 0.000 0.000
Zn 0.500 0.000 0.500
Be 0.872 0.628 0.250
Be 0.128 0.372 0.750


The following is a DFT calculation (PBE) of Th5Bi2SbC after structural relaxation.

As for the symmetry: No. 123. The energy relative to the elements, uncorrected is -0.4388 eV per atom. The value obtained for the theoretical density is 10.317 g cm⁻³. Its calculated total energy is -62.2 eV/cell. Its total magnetic moment is 0.00 μB/f.u. Its crystal system is tetragonal.

Cell lengths 4.863, 4.863, 11.649 Å; angles 90.00, 90.00, 90.00 degrees
Fractional coordinates of all 9 atoms:
Th 0.000 0.000 0.271
Th 0.000 0.500 0.500
Th 0.500 0.500 0.000
Th 0.000 0.000 0.729
Th 0.500 0.000 0.500
Bi 0.500 0.500 0.285
Bi 0.500 0.500 0.715
Sb 0.000 0.000 0.000
C 0.000 0.000 0.500


The following is a DFT calculation (PBE) of LiMg2P2Rh5 after structural relaxation.

As for the symmetry: No. 127. The value obtained for the theoretical density is 7.251 g cm⁻³. The formation energy is -648 meV per atom. Its calculated total energy is -118.3 eV/cell. Its total magnetic moment is 0.00 μB/f.u. Its crystal system is tetragonal.

Cell lengths 3.239, 9.454, 9.454 Å; angles 90.00, 90.00, 90.00 degrees
Fractional coordinates of all 20 atoms:
P 0.000 0.632 0.868
P 0.000 0.132 0.632
P 0.000 0.868 0.368
P 0.000 0.368 0.132
Rh 0.500 0.792 0.928
Rh 0.500 0.208 0.072
Rh 0.500 0.572 0.708
Rh 0.500 0.708 0.428
Rh 0.500 0.000 0.500
Rh 0.500 0.928 0.208
Rh 0.500 0.500 0.000
Rh 0.500 0.428 0.292
Rh 0.500 0.292 0.572
Rh 0.500 0.072 0.792
Mg 0.000 0.171 0.329
Mg 0.000 0.671 0.171
Mg 0.000 0.329 0.829
Mg 0.000 0.829 0.671
Li 0.000 0.500 0.500
Li 0.000 0.000 0.000


The following is a DFT calculation (PBE) of CsGeP2O8 after structural relaxation.

As for the symmetry: No. 147. The energy relative to the elements, uncorrected is -1.9243 eV per atom. The value obtained for the theoretical density is 3.474 g cm⁻³. Its calculated total energy is -79.0 eV/cell. Its total magnetic moment is 1.08 μB/f.u. Its crystal system is trigonal.

Cell lengths 4.910, 4.910, 9.053 Å; angles 90.00, 90.00, 120.00 degrees
Fractional coordinates of all 12 atoms:
Cs 0.000 0.000 0.000
O 0.660 0.731 0.623
O 0.667 0.333 0.153
O 0.070 0.340 0.623
O 0.340 0.269 0.377
O 0.269 0.930 0.623
O 0.333 0.667 0.847
O 0.930 0.660 0.377
O 0.731 0.070 0.377
Ge 0.000 0.000 0.500
P 0.333 0.667 0.678
P 0.667 0.333 0.322